[1]
Entry from the Alexandria database: an optimized crystal structure of PrMg2OsO8 (PBE-GGA).

Lattice parameters (Å, degrees): 4.544 6.799 4.737 90.00 90.15 90.00
Element x y z (fractional)
Pr: 0.000 0.000 0.000
Mg: 0.500 0.266 0.500
Mg: 0.500 0.734 0.500
Os: 0.000 0.500 0.000
O: 0.236 0.300 0.847
O: 0.236 0.700 0.847
O: 0.245 0.500 0.318
O: 0.262 0.000 0.454
O: 0.738 0.000 0.546
O: 0.755 0.500 0.682
O: 0.764 0.300 0.153
O: 0.764 0.700 0.153

## Properties
**E_form (uncorrected)**: -1828 meV per atom

[2]
Entry from the Alexandria database: an optimized crystal structure of Li4Pu3PtO12 (PBE-GGA).

Lattice parameters (Å, degrees): 6.864 6.864 6.864 106.83 106.83 106.83
Element x y z (fractional)
Li: 0.000 0.000 0.000
Li: 0.000 0.440 0.560
Li: 0.440 0.560 0.000
Li: 0.560 0.000 0.440
Pu: 0.055 0.945 0.500
Pu: 0.500 0.055 0.945
Pu: 0.945 0.500 0.055
Pt: 0.500 0.500 0.500
O: 0.000 0.609 0.391
O: 0.000 0.837 0.163
O: 0.163 0.000 0.837
O: 0.179 0.269 0.533
O: 0.269 0.533 0.179
O: 0.391 0.000 0.609
O: 0.467 0.731 0.821
O: 0.533 0.179 0.269
O: 0.609 0.391 0.000
O: 0.731 0.821 0.467
O: 0.821 0.467 0.731
O: 0.837 0.163 0.000

## Properties
**E_form (uncorrected)**: -1911 meV per atom

[3]
Entry from the Alexandria database: an optimized crystal structure of CrTcTe (PBE-GGA).

Lattice parameters (Å, degrees): 9.629 9.629 4.150 90.61 90.61 18.82
Element x y z (fractional)
Cr: 0.038 0.038 0.226
Cr: 0.962 0.962 0.774
Tc: 0.439 0.439 0.262
Tc: 0.561 0.561 0.738
Te: 0.342 0.342 0.755
Te: 0.658 0.658 0.245

## Properties
**E_form (uncorrected)**: 4 meV per atom